1.
The following is a PBE calculation of a relaxed Mg4Sb2N crystal, from Alexandria.

abc: 4.2565 15.2026 4.3329
angles: 90.00 90.00 90.00
Closest atoms and distances in Å follow each position.
Space group Cmmm (No. 65)
One atom of each set of equivalent atoms:
Mg: 0.0000 0.0000 0.0000 (multiplicity 2)  2 N 2.17
Mg: 0.0000 0.1431 0.5000 (multiplicity 4)  1 N 2.18
Mg: 0.0000 0.5000 0.5000 (multiplicity 2)  2 N 2.13
Sb: 0.0000 0.3461 0.0000 (multiplicity 4)  8 Mg 3.04-3.19
N: 0.0000 0.0000 0.5000 (multiplicity 2)  6 Mg 2.13-2.18

Properties
theoretical density = 4.20 g/cm3
relative energy among the computed polymorphs = 78 meV per atom

2.
The following is a PBE calculation of a relaxed MgSbN3 crystal, from Alexandria.

abc: 4.0184 4.0184 4.0184
angles: 90.00 90.00 90.00
Closest atoms and distances in Å follow each position.
Space group Pm-3m (No. 221)
One atom of each set of equivalent atoms:
Mg: 0.0000 0.0000 0.0000 (multiplicity 1)  12 N 2.84
Sb: 0.5000 0.5000 0.5000 (multiplicity 1)  6 N 2.01
N: 0.0000 0.5000 0.5000 (multiplicity 3)  2 Sb 2.01

Properties
theoretical density = 4.81 g/cm3
E = -5.06 eV/atom

3.
The following is a PBE calculation of a relaxed Mg4Sb2N crystal, from Alexandria.

abc: 12.2178 3.2828 7.5121
angles: 90.00 112.45 90.00
Closest atoms and distances in Å follow each position.
Space group C2/m (No. 12)
One atom of each set of equivalent atoms:
Mg: 0.0459 0.0000 0.3100 (multiplicity 4)  1 N 2.18
Mg: 0.1232 0.5000 0.0294 (multiplicity 4)  2 N 2.18
Sb: 0.1739 0.5000 0.6778 (multiplicity 4)  7 Mg 2.93-3.18, 2 Sb 3.28
N: 0.0000 0.0000 0.0000 (multiplicity 2)  6 Mg 2.18

Properties
theoretical density = 4.23 g/cm3
relative energy among the computed polymorphs = 57 meV per atom

4.
The following is a PBE calculation of a relaxed MgSbN2 crystal, from Alexandria.

abc: 3.2720 3.2720 19.1059
angles: 90.00 90.00 120.00
Closest atoms and distances in Å follow each position.
Space group R-3m (No. 166, hexagonal axes)
One atom of each set of equivalent atoms:
Mg: 0.0000 0.0000 0.0000 (multiplicity 3)  2 N 2.09
Sb: 0.0000 0.0000 0.5000 (multiplicity 3)  6 N 2.19
N: 0.0000 0.0000 0.1092 (multiplicity 6)  1 Mg 2.09, 3 Sb 2.19

Properties
theoretical density = 4.90 g/cm3
relative energy among the computed polymorphs = 289 meV per atom

5.
The following is a PBE calculation of a relaxed MgSbN2 crystal, from Alexandria.

abc: 5.7725 5.7725 5.7725
angles: 90.00 90.00 90.00
Closest atoms and distances in Å follow each position.
Space group Fm-3m (No. 225)
One atom of each set of equivalent atoms:
Mg: 0.0000 0.0000 0.0000 (multiplicity 4)  8 N 2.50
Sb: 0.0000 0.0000 0.5000 (multiplicity 4)  8 N 2.50
N: 0.2500 0.2500 0.2500 (multiplicity 8)  4 Sb 2.50, 4 Mg 2.50

Properties
theoretical density = 6.01 g/cm3
relative energy among the computed polymorphs = 809 meV per atom

6.
The following is a PBE calculation of a relaxed Mg12Sb3N5 crystal, from Alexandria.

abc: 14.2847 14.2847 14.2847
angles: 90.00 90.00 90.00
Closest atoms and distances in Å follow each position.
Space group Ia-3d (No. 230)
One atom of each set of equivalent atoms:
Mg: 0.0357 0.0431 0.6467 (multiplicity 96)  2 N 2.05-2.24
Sb: 0.0000 0.2500 0.1250 (multiplicity 24)  8 Mg 2.80-3.01
N: 0.0000 0.0000 0.0000 (multiplicity 16)  6 Mg 2.24
N: 0.0000 0.2500 0.3750 (multiplicity 24)  4 Mg 2.05

Properties
theoretical density = 3.31 g/cm3
E = -4.15 eV/atom

> The highest theoretical density belongs to which entry?

number 5